Entry 1:
Below is a geometry-optimized AgTePb2I structure, with properties calculated at the GGA-PBE level.

Structure (extended XYZ):
```
5
Lattice="-2.049 -3.876 3.851 -1.834 -2.944 -3.939 5.069 -2.884 -0.205" Properties=species:S:1:pos:R:3 pbc="T T T"
Pb 2.535 -1.442 -0.103
Pb -1.025 -1.938 1.926
I 0.593 -4.852 -0.147
Te -0.917 -1.472 -1.970
Ag 0.000 0.000 0.000
```

Computed properties:
Final energy: -14.12 eV per cell
SG: P4/mmm (123)
Total magnetization: 0.00 μB per cell
Formation energy from raw total energies: 0.842 eV/f.u.

=====

Entry 2:
Below is a geometry-optimized AgTe2PbI structure, with properties calculated at the GGA-PBE level.

Structure (extended XYZ):
```
5
Lattice="5.507 0.000 0.000 0.000 5.507 0.000 0.000 0.000 5.583" Properties=species:S:1:pos:R:3 pbc="T T T"
Pb 2.754 2.754 2.791
I 0.000 0.000 2.791
Te 0.000 2.754 0.000
Te 2.754 0.000 0.000
Ag 0.000 0.000 0.000
```

Computed properties:
Final energy: -13.49 eV per cell
SG: P4/mmm (123)
Total magnetization: 0.00 μB per cell
Formation energy from raw total energies: 0.904 eV/f.u.

=====

Entry 3:
Below is a geometry-optimized AgTePbI2 structure, with properties calculated at the GGA-PBE level.

Structure (extended XYZ):
```
5
Lattice="5.583 0.000 0.000 0.000 5.583 0.000 0.000 0.000 5.672" Properties=species:S:1:pos:R:3 pbc="T T T"
Pb 2.792 2.792 2.836
I 0.000 2.792 0.000
I 2.792 0.000 0.000
Te 0.000 0.000 2.836
Ag 0.000 0.000 0.000
```

Computed properties:
Final energy: -12.47 eV per cell
SG: P4/mmm (123)
Total magnetization: 0.00 μB per cell
Formation energy from raw total energies: 0.327 eV/f.u.

=====

Entry 4:
Below is a geometry-optimized TlAgPb2I6 structure, with properties calculated at the GGA-PBE level.

Structure (extended XYZ):
```
10
Lattice="8.153 0.002 0.002 4.078 7.058 0.001 4.078 2.354 7.475" Properties=species:S:1:pos:R:3 pbc="T T T"
Tl 12.231 7.061 4.099
Ag 4.077 2.352 0.200
Pb 8.155 4.707 3.427
Pb 4.078 2.355 7.353
I 6.712 2.306 1.780
I 6.794 7.155 1.781
I 10.958 4.662 1.782
I 9.210 6.876 5.693
I 9.507 2.709 5.695
I 5.750 4.537 5.694
```

Computed properties:
Final energy: -27.18 eV per cell
SG: R3 (146)
Total magnetization: 0.00 μB per cell
Formation energy from raw total energies: -5.241 eV/f.u.

=====

Entry 5:
Below is a geometry-optimized Tl2Ag2PbI6 structure, with properties calculated at the GGA-PBE level.

Structure (extended XYZ):
```
11
Lattice="8.809 0.000 0.000 -4.404 7.496 0.085 0.000 -4.212 7.233" Properties=species:S:1:pos:R:3 pbc="T T T"
Tl 4.404 2.895 1.324
Tl 0.000 0.390 5.994
Ag 4.404 3.345 5.809
Ag 0.000 -0.061 1.509
Pb 4.404 -2.106 3.616
I 4.404 1.069 4.253
I -2.217 5.687 1.326
I 2.187 -2.403 5.992
I 6.622 -2.403 5.992
I 2.217 5.687 1.326
I 0.000 2.216 3.065
```

Computed properties:
Final energy: -28.42 eV per cell
SG: C2/m (12)
Total magnetization: 0.00 μB per cell
Formation energy from raw total energies: -4.977 eV/f.u.

=====

Entry 6:
Below is a geometry-optimized TlAgPbI2 structure, with properties calculated at the GGA-PBE level.

Structure (extended XYZ):
```
5
Lattice="5.974 0.000 0.000 0.000 5.453 0.000 0.000 0.000 5.974" Properties=species:S:1:pos:R:3 pbc="T T T"
Pb 0.000 2.727 0.000
I 0.000 0.000 2.987
I 2.987 0.000 0.000
Tl 2.987 2.727 2.987
Ag 0.000 0.000 0.000
```

Computed properties:
Final energy: -11.85 eV per cell
SG: P4/mmm (123)
Total magnetization: 0.00 μB per cell
Formation energy from raw total energies: 0.181 eV/f.u.

=====

| no. | volume (Å³ per atom) |
| --- | --- |
| 1 | 35.75 |
| 2 | 33.86 |
| 3 | 35.36 |
| 4 | 43.00 |
| 5 | 43.71 |
| 6 | 38.92 |